1.
Compound: SrMnRe2
Source: Alexandria via LeMat-Bulk
Functional: PBE-GGA
Structure: relaxed

Values from the calculation:
D(E_F): 0.596 states/eV per atom
crystal system: cubic
SG: No. 225

```
SrMnRe2
1.0
0.000 3.198 3.198
3.198 0.000 3.198
3.198 3.198 0.000
Sr Mn Re
1 1 2
direct
0.000 0.000 0.000 Sr
0.500 0.500 0.500 Mn
0.250 0.250 0.250 Re
0.750 0.750 0.750 Re
```

---

2.
Compound: SrMnRe2
Source: Alexandria via LeMat-Bulk
Functional: PBE-GGA
Structure: relaxed

Values from the calculation:
D(E_F): 1.205 states/eV per atom
crystal system: tetragonal
SG: No. 123

```
SrMnRe2
1.0
2.786 0.000 0.000
0.000 2.786 0.000
0.000 0.000 8.796
Sr Mn Re
1 1 2
direct
0.000 0.000 0.000 Sr
0.000 0.000 0.500 Mn
0.500 0.500 0.309 Re
0.500 0.500 0.691 Re
```

---

Relative energies, in eV/atom, with the most stable structure set to zero: 1 0.603; 2 0.000.

---

1.
Compound: SrMnRe2
Source: Alexandria via LeMat-Bulk
Functional: PBE-GGA
Structure: relaxed

Values from the calculation:
D(E_F): 1.148 states/eV per atom
crystal system: tetragonal
SG: No. 123

```
SrMnRe2
1.0
4.785 0.000 0.000
0.000 4.785 0.000
0.000 0.000 3.108
Sr Mn Re
1 1 2
direct
0.000 0.000 0.000 Sr
0.500 0.500 0.000 Mn
0.000 0.500 0.500 Re
0.500 0.000 0.500 Re
```

---

2.
Compound: SrMnRe2
Source: Alexandria via LeMat-Bulk
Functional: PBE-GGA
Structure: relaxed

Values from the calculation:
D(E_F): 1.308 states/eV per atom
crystal system: tetragonal
SG: No. 139

```
SrMnRe2
1.0
-1.940 1.940 4.932
1.940 -1.940 4.932
1.940 1.940 -4.932
Sr Mn Re
1 1 2
direct
0.000 0.000 0.000 Sr
0.500 0.500 0.000 Mn
0.250 0.750 0.500 Re
0.750 0.250 0.500 Re
```

---

Relative energies, in eV/atom, with the most stable structure set to zero: 1 0.254; 2 0.000.

---

1.
Compound: SrMnRe3
Source: Alexandria via LeMat-Bulk
Functional: PBE-GGA
Structure: relaxed

Values from the calculation:
D(E_F): 1.190 states/eV per atom
crystal system: cubic
SG: No. 221

```
SrMnRe3
1.0
4.594 0.000 0.000
0.000 4.594 0.000
0.000 0.000 4.594
Sr Mn Re
1 1 3
direct
0.000 0.000 0.000 Sr
0.500 0.500 0.500 Mn
0.000 0.500 0.500 Re
0.500 0.000 0.500 Re
0.500 0.500 0.000 Re
```

---

2.
Compound: SrMnRe3
Source: Alexandria via LeMat-Bulk
Functional: PBE-GGA
Structure: relaxed

Values from the calculation:
D(E_F): 1.871 states/eV per atom
crystal system: cubic
SG: No. 221

```
SrMnRe3
1.0
4.692 0.000 0.000
0.000 4.692 0.000
0.000 0.000 4.692
Sr Mn Re
1 1 3
direct
0.000 0.000 0.000 Sr
0.500 0.500 0.500 Mn
0.000 0.000 0.500 Re
0.000 0.500 0.000 Re
0.500 0.000 0.000 Re
```

---

Relative energies, in eV/atom, with the most stable structure set to zero: 1 0.000; 2 2.782.

---

1.
Compound: Ta4MnRe
Source: Alexandria via LeMat-Bulk
Functional: PBE-GGA
Structure: relaxed

Values from the calculation:
D(E_F): 0.387 states/eV per atom
crystal system: tetragonal
SG: No. 123

```
Ta4MnRe
1.0
3.172 0.000 0.000
0.000 3.172 0.000
0.000 0.000 9.794
Ta Mn Re
4 1 1
direct
0.000 0.000 0.153 Ta
0.000 0.000 0.847 Ta
0.500 0.500 0.337 Ta
0.500 0.500 0.663 Ta
0.500 0.500 0.000 Mn
0.000 0.000 0.500 Re
```

---

2.
Compound: Ta4MnRe
Source: Alexandria via LeMat-Bulk
Functional: PBE-GGA
Structure: relaxed

Values from the calculation:
D(E_F): 0.775 states/eV per atom
crystal system: tetragonal
SG: No. 123

```
Ta4MnRe
1.0
4.311 0.000 0.000
0.000 4.311 0.000
0.000 0.000 6.133
Ta Mn Re
4 1 1
direct
0.000 0.500 0.241 Ta
0.000 0.500 0.759 Ta
0.500 0.000 0.241 Ta
0.500 0.000 0.759 Ta
0.000 0.000 0.000 Mn
0.500 0.500 0.500 Re
```

---

Relative energies, in eV/atom, with the most stable structure set to zero: 1 0.000; 2 0.539.